1.
Entry from Alexandria: AsPdAu after structural relaxation (PBE-GGA).

## Properties
ΔE_f: -87 meV/atom
Magnetic moment: 0.00 μB/cell
N(E_F): 0.8 states/eV/f.u.

a = 3.1084 Å, b = 3.1084 Å, c = 5.8401 Å
α = 105.43°, β = 105.43°, γ = 90.00°
With the nearest neighbours (Å) after each atom.
Sites, in units of the cell vectors:
As: 0.3137 0.3137 0.6274  4 Pd 2.61
Au: 0.0034 0.0034 0.0068  4 Pd 2.93, 4 As 3.01, 4 Au 3.11
Pd: 0.6829 0.6829 0.3658  4 As 2.61



2.
Entry from Alexandria: ZrSb2Au after structural relaxation (PBE-GGA).

## Properties
Magnetic moment: 0.00 μB/cell
N(E_F): 3.6 states/eV/f.u.
E_form (uncorrected): -0.066 eV per atom

a = 7.8025 Å, b = 7.8025 Å, c = 6.3732 Å
α = 52.26°, β = 52.26°, γ = 90.00°
With the nearest neighbours (Å) after each atom.
Sites, in units of the cell vectors:
Sb: 0.6479 0.1250 0.2500  2 Au 2.75, 2 Zr 3.00
Sb: 0.1021 0.6250 0.2500  2 Au 2.75, 2 Zr 3.00
Sb: 0.3750 0.3521 0.7500  2 Au 2.75, 2 Zr 3.00
Sb: 0.8750 0.8979 0.7500  2 Au 2.75, 2 Zr 3.00
Au: 0.0000 0.0000 0.0000  4 Sb 2.75
Au: 0.7500 0.2500 0.5000  4 Sb 2.75
Zr: 0.5000 0.5000 0.0000  4 Sb 3.00, 2 Au 3.19
Zr: 0.2500 0.7500 0.5000  4 Sb 3.00, 2 Au 3.19



3.
Entry from Alexandria: Pm2MgGe3Au4 after structural relaxation (PBE-GGA).

## Properties
ΔE_f: -604 meV/atom
Magnetic moment: 0.00 μB/cell
N(E_F): 3.6 states/eV/f.u.

a = 4.3522 Å, b = 4.3522 Å, c = 11.1209 Å
α = 90.00°, β = 90.00°, γ = 90.00°
With the nearest neighbours (Å) after each atom.
Sites, in units of the cell vectors:
Pm: 0.5000 0.0000 0.2289  4 Ge 3.24, 8 Au 3.35-3.42
Pm: 0.0000 0.5000 0.7711  4 Ge 3.24, 8 Au 3.35-3.42
Mg: 0.5000 0.5000 0.5000  4 Au 2.66
Ge: 0.0000 0.0000 0.5000  4 Au 2.66
Ge: 0.5000 0.0000 0.8618  5 Au 2.49-2.66
Ge: 0.0000 0.5000 0.1382  5 Au 2.49-2.66
Au: 0.5000 0.5000 0.0000  4 Ge 2.66
Au: 0.0000 0.0000 0.0000  4 Ge 2.66
Au: 0.5000 0.0000 0.6375  3 Ge 2.49-2.66, 2 Mg 2.66
Au: 0.0000 0.5000 0.3625  3 Ge 2.49-2.66, 2 Mg 2.66



4.
Entry from Alexandria: SrMn2Tc after structural relaxation (PBE-GGA).

## Properties
ΔE_f: 559 meV/atom
Magnetic moment: 5.00 μB/cell
N(E_F): 3.6 states/eV/f.u.

a = 3.0781 Å, b = 3.0753 Å, c = 8.3979 Å
α = 68.50°, β = 90.00°, γ = 90.00°
With the nearest neighbours (Å) after each atom.
Sites, in units of the cell vectors:
Mn: 0.0000 0.0177 0.9819  4 Tc 2.49, 4 Mn 2.65
Mn: 0.5000 0.3247 0.1752  4 Mn 2.65, 1 Tc 2.72
Sr: 0.0000 0.4851 0.5155  4 Sr 3.08, 4 Tc 3.27, 4 Mn 3.43-3.44
Tc: 0.5000 0.6725 0.8274  5 Mn 2.49-2.72



5.
Entry from Alexandria: MgMo2Pb after structural relaxation (PBE-GGA).

## Properties
ΔE_f: 1098 meV/atom
Magnetic moment: 0.01 μB/cell
N(E_F): 4.5 states/eV/f.u.

a = 7.5386 Å, b = 7.5386 Å, c = 6.0150 Å
α = 51.20°, β = 51.20°, γ = 90.00°
With the nearest neighbours (Å) after each atom.
Sites, in units of the cell vectors:
Pb: 0.0000 0.0000 0.0000  2 Mg 2.79, 4 Mo 2.80
Pb: 0.7500 0.2500 0.5000  2 Mg 2.79, 4 Mo 2.80
Mo: 0.6169 0.1250 0.2500  2 Mg 2.71, 2 Mo 2.79, 2 Pb 2.80
Mo: 0.1331 0.6250 0.2500  2 Mg 2.71, 2 Mo 2.79, 2 Pb 2.80
Mo: 0.3750 0.3831 0.7500  2 Mg 2.71, 2 Mo 2.79, 2 Pb 2.80
Mo: 0.8750 0.8669 0.7500  2 Mg 2.71, 2 Mo 2.79, 2 Pb 2.80
Mg: 0.5000 0.5000 0.0000  4 Mo 2.71, 2 Pb 2.79
Mg: 0.2500 0.7500 0.5000  4 Mo 2.71, 2 Pb 2.79



6.
Entry from Alexandria: La5NdBi3 after structural relaxation (PBE-GGA).

## Properties
ΔE_f: -629 meV/atom
Magnetic moment: 6.79 μB/cell
N(E_F): 10.4 states/eV/f.u.

a = 6.8529 Å, b = 9.9880 Å, c = 9.9883 Å
α = 120.00°, β = 90.00°, γ = 90.00°
With the nearest neighbours (Å) after each atom.
Sites, in units of the cell vectors:
La: 0.0000 0.6666 0.3333  8 La 3.43-3.75, 6 Bi 3.74
La: 0.5000 0.3334 0.6667  8 La 3.43-3.75, 6 Bi 3.74
La: 0.0000 0.3334 0.6667  8 La 3.43-3.75, 6 Bi 3.74
La: 0.5000 0.6666 0.3333  8 La 3.43-3.75, 6 Bi 3.74
La: 0.7500 0.6681 0.6681  5 Bi 3.32-3.43
La: 0.7500 0.0000 0.3319  5 Bi 3.32-3.43
La: 0.7500 0.3319 0.0000  5 Bi 3.32-3.43
La: 0.2500 0.3319 0.3319  5 Bi 3.32-3.43
La: 0.2500 0.0000 0.6681  5 Bi 3.32-3.43
La: 0.2500 0.6681 0.0000  5 Bi 3.32-3.43
Nd: 0.0000 0.0000 0.0000  2 Nd 3.43, 6 La 3.73, 6 Bi 3.75
Nd: 0.5000 0.0000 0.0000  2 Nd 3.43, 6 La 3.73, 6 Bi 3.75
Bi: 0.7500 0.3336 0.3335  5 La 3.32-3.43
Bi: 0.7500 0.0000 0.6665  5 La 3.32-3.43
Bi: 0.7500 0.6664 0.0000  5 La 3.32-3.43
Bi: 0.2500 0.6664 0.6665  5 La 3.32-3.43
Bi: 0.2500 0.0000 0.3335  5 La 3.32-3.43
Bi: 0.2500 0.3336 0.0000  5 La 3.32-3.43



7.
Entry from Alexandria: AcThNbN3 after structural relaxation (PBE-GGA).

## Properties
Magnetic moment: 0.00 μB/cell
N(E_F): 3.3 states/eV/f.u.
E_form (uncorrected): -1.015 eV per atom

a = 3.6568 Å, b = 7.8412 Å, c = 8.1509 Å
α = 95.96°, β = 90.00°, γ = 90.00°
With the nearest neighbours (Å) after each atom.
Sites, in units of the cell vectors:
Ac: 0.7500 0.8411 0.8366  3 N 2.60-2.74
Ac: 0.2500 0.1589 0.1634  3 N 2.60-2.74
Th: 0.2500 0.6250 0.1661  3 N 2.30-2.49
Th: 0.7500 0.3750 0.8339  3 N 2.30-2.49
Nb: 0.2500 0.1070 0.5908  4 N 2.04-2.16
Nb: 0.7500 0.8930 0.4092  4 N 2.04-2.16
N: 0.2500 0.8356 0.5125  3 Nb 2.08-2.16
N: 0.7500 0.8629 0.1576  1 Nb 2.04
N: 0.7500 0.4095 0.1177  3 Th 2.30-2.49
N: 0.7500 0.1644 0.4875  3 Nb 2.08-2.16
N: 0.2500 0.5905 0.8823  3 Th 2.30-2.49
N: 0.2500 0.1371 0.8424  1 Nb 2.04



8.
Entry from Alexandria: VPtRh6 after structural relaxation (PBE-GGA).

## Properties
ΔE_f: -185 meV/atom
Magnetic moment: 0.00 μB/cell
N(E_F): 10.3 states/eV/f.u.

a = 3.8266 Å, b = 5.4511 Å, c = 5.4511 Å
α = 90.00°, β = 90.00°, γ = 90.00°
With the nearest neighbours (Å) after each atom.
Sites, in units of the cell vectors:
V: 0.5000 0.0000 0.0000  12 Rh 2.68-2.73
Pt: 0.5000 0.5000 0.5000  12 Rh 2.73-2.75
Rh: 0.0000 0.7563 0.2437  8 Rh 2.66-2.79, 2 V 2.68, 2 Pt 2.75
Rh: 0.0000 0.2437 0.7563  8 Rh 2.66-2.79, 2 V 2.68, 2 Pt 2.75
Rh: 0.0000 0.7564 0.7564  8 Rh 2.66-2.79, 2 V 2.68, 2 Pt 2.75
Rh: 0.0000 0.2436 0.2436  8 Rh 2.66-2.79, 2 V 2.68, 2 Pt 2.75
Rh: 0.5000 0.5000 0.0000  8 Rh 2.72, 2 V 2.73, 2 Pt 2.73
Rh: 0.5000 0.0000 0.5000  8 Rh 2.72, 2 Pt 2.73, 2 V 2.73



9.
Entry from Alexandria: Ac8Ge5As after structural relaxation (PBE-GGA).

## Properties
ΔE_f: -790 meV/atom
Magnetic moment: 0.00 μB/cell
N(E_F): 7.4 states/eV/f.u.

a = 8.4432 Å, b = 8.4432 Å, c = 8.4432 Å
α = 109.44°, β = 109.53°, γ = 109.44°
With the nearest neighbours (Å) after each atom.
Sites, in units of the cell vectors:
Ac: 0.1235 0.7478 0.0042  3 Ge 3.18-3.56, 1 As 3.19
Ac: 0.9958 0.1192 0.7435  3 Ge 3.18-3.56, 1 As 3.19
Ac: 0.7525 0.2500 0.3741  3 Ge 3.18-3.19
Ac: 0.6259 0.3784 0.8758  3 Ge 3.18-3.19
Ac: 0.4975 0.6216 0.2475  3 Ge 3.18-3.19
Ac: 0.6243 0.8808 0.8765  3 Ge 3.18-3.56, 1 As 3.19
Ac: 0.2565 0.2522 0.3757  3 Ge 3.18-3.56, 1 As 3.19
Ac: 0.1242 0.7500 0.5025  3 Ge 3.18-3.19
Ge: 0.0009 0.3744 0.1237  4 Ac 3.18-3.19
Ge: 0.8763 0.8771 0.2506  4 Ac 3.18-3.19
Ge: 0.7494 0.6256 0.6265  4 Ac 3.18-3.19
Ge: 0.5000 0.0000 0.5000  4 Ac 3.18
Ge: 0.3735 0.1229 0.9991  4 Ac 3.18-3.19
As: 0.2500 0.5000 0.7500  4 Ac 3.19



10.
Entry from Alexandria: Na2PbCl4 after structural relaxation (PBE-GGA).

## Properties
Magnetic moment: 0.00 μB/cell
N(E_F): 0.0 states/eV/f.u.
E_form (uncorrected): -1.521 eV per atom

a = 8.4173 Å, b = 8.4173 Å, c = 11.9271 Å
α = 90.00°, β = 90.00°, γ = 90.00°
With the nearest neighbours (Å) after each atom.
Sites, in units of the cell vectors:
Na: 0.7494 0.7494 0.8750  4 Cl 2.72-2.75
Na: 0.2506 0.7494 0.1250  4 Cl 2.72-2.75
Na: 0.7494 0.2506 0.6250  4 Cl 2.72-2.75
Na: 0.2506 0.2506 0.3750  4 Cl 2.72-2.75
Na: 0.7362 0.5000 0.2500  6 Cl 2.83-2.90
Na: 0.5000 0.2638 0.0000  6 Cl 2.83-2.90
Na: 0.5000 0.7362 0.5000  6 Cl 2.83-2.90
Na: 0.2638 0.5000 0.7500  6 Cl 2.83-2.90
Pb: 0.0000 0.7324 0.5000  6 Cl 2.84-3.01
Pb: 0.2676 0.0000 0.7500  6 Cl 2.84-3.01
Pb: 0.7324 0.0000 0.2500  6 Cl 2.84-3.01
Pb: 0.0000 0.2676 0.0000  6 Cl 2.84-3.01
Cl: 0.2576 0.9806 0.5046  2 Na 2.75-2.90, 2 Pb 2.93-3.01
Cl: 0.7424 0.9806 0.4954  2 Na 2.75-2.90, 2 Pb 2.93-3.01
Cl: 0.0194 0.2576 0.7546  2 Na 2.75-2.90, 2 Pb 2.93-3.01
Cl: 0.7424 0.0194 0.0046  2 Na 2.75-2.90, 2 Pb 2.93-3.01
Cl: 0.2522 0.4909 0.9888  3 Na 2.72-2.85, 1 Pb 2.84
Cl: 0.5091 0.2522 0.2388  3 Na 2.72-2.85, 1 Pb 2.84
Cl: 0.4909 0.7478 0.7388  3 Na 2.72-2.85, 1 Pb 2.84
Cl: 0.2522 0.5091 0.5112  3 Na 2.72-2.85, 1 Pb 2.84
Cl: 0.7478 0.4909 0.0112  3 Na 2.72-2.85, 1 Pb 2.84
Cl: 0.7478 0.5091 0.4888  3 Na 2.72-2.85, 1 Pb 2.84
Cl: 0.4909 0.2522 0.7612  3 Na 2.72-2.85, 1 Pb 2.84
Cl: 0.5091 0.7478 0.2612  3 Na 2.72-2.85, 1 Pb 2.84
Cl: 0.9806 0.2576 0.2454  2 Na 2.75-2.90, 2 Pb 2.93-3.01
Cl: 0.2576 0.0194 0.9954  2 Na 2.75-2.90, 2 Pb 2.93-3.01
Cl: 0.9806 0.7424 0.2546  2 Na 2.75-2.90, 2 Pb 2.93-3.01
Cl: 0.0194 0.7424 0.7454  2 Na 2.75-2.90, 2 Pb 2.93-3.01



Question: Look up the N(E_F) of the tenth one.
Answer: 0.0 states/eV/f.u.



Question: What is the formula in the tenth record?
Answer: Na2PbCl4



Question: Look up the magnetic moment of the eighth one.
Answer: 0.00 μB/cell



Question: N(E_F) of number 5 (MgMo2Pb)?
Answer: 4.5 states/eV/f.u.